[1]
This record from the Alexandria database describes a geometry-optimized KN3O structure. The functional is PBE.

The value obtained for the energy relative to the elements, uncorrected is 3294 meV/atom. Its volume is 119 Å³ per cell. The uncorrected energy is -2.912 eV per atom.

The space group is Pm-3m (No. 221) and the conventional cell measures 4.9199, 4.9199 and 4.9199 Å, with angles of 90.00, 90.00 and 90.00 degrees. The inequivalent atoms are K at (0.0000, 0.0000, 0.0000), N at (0.0000, 0.0000, 0.5000) and O at (0.5000, 0.5000, 0.5000).

[2]
This record from the Alexandria database describes a geometry-optimized ZrBS3 structure. The functional is PBE.

The calculation puts the energy above the most stable polymorph in this dataset at 0 meV per atom. The value obtained for the energy relative to the elements, uncorrected is -846 meV/atom. Its volume is 195 Å³ per cell. The uncorrected energy is -6.368 eV per atom.

The space group is P2_1/m (No. 11) and the conventional cell measures 6.8506, 3.3876 and 8.3939 Å, with angles of 90.00, 91.02 and 90.00 degrees. The inequivalent atoms are Zr at (0.2170, 0.2500, 0.0561), B at (0.4622, 0.2500, 0.6147), S at (0.0007, 0.7500, 0.1917), S at (0.3273, 0.7500, 0.5364) and S at (0.4880, 0.7500, 0.1650).

[3]
This record from the Alexandria database describes a geometry-optimized CaPu2Cu2Ge2 structure. The functional is PBE.

As for the formation energy: -0.191 eV per atom. Its volume is 388 Å³ per cell. The uncorrected energy is -7.061 eV per atom.

The space group is R-3m (No. 166, hexagonal axes) and the conventional cell measures 4.0346, 4.0346 and 27.4942 Å, with angles of 90.00, 90.00 and 120.00 degrees. The inequivalent atoms are Ca at (0.0000, 0.0000, 0.0000), Pu at (0.0000, 0.0000, 0.1512), Cu at (0.0000, 0.0000, 0.4150) and Ge at (0.0000, 0.0000, 0.2575).

[4]
This record from the Alexandria database describes a geometry-optimized Tl2Pb3I8 structure. The functional is PBE.

The value obtained for the energy relative to the elements, uncorrected is -644 meV/atom. Its volume is 1268 Å³ per cell. The uncorrected energy is -2.818 eV per atom.

The space group is C2/m (No. 12) and the conventional cell measures 17.3823, 9.4016 and 8.1644 Å, with angles of 90.00, 108.16 and 90.00 degrees. The inequivalent atoms are Tl at (0.2402, 0.0000, 0.1633), Pb at (0.0000, 0.2403, 0.5000), Pb at (0.0000, 0.5000, 0.0000), I at (0.1123, 0.5000, 0.4045), I at (0.1134, 0.2598, 0.9026) and I at (0.1177, 0.0000, 0.4389).

[5]
This record from the Alexandria database describes a geometry-optimized CaAcPmY structure. The functional is PBE.

As for the formation energy: 0.058 eV per atom. The calculation puts the energy above the most stable polymorph in this dataset at 0 meV per atom. Its volume is 153 Å³ per cell. The uncorrected energy is -4.273 eV per atom.

The space group is P4mm (No. 99) and the conventional cell measures 3.7893, 3.7893 and 10.6599 Å, with angles of 90.00, 90.00 and 90.00 degrees. The inequivalent atoms are Ca at (0.0000, 0.0000, 0.0000), Ac at (0.5000, 0.5000, 0.7193), Pm at (0.0000, 0.0000, 0.4693) and Y at (0.5000, 0.5000, 0.2499).

[6]
This record from the Alexandria database describes a geometry-optimized TbPrNdAg structure. The functional is PBE.

As for the formation energy: 0.068 eV per atom. The calculation puts the energy above the most stable polymorph in this dataset at 188 meV per atom. Its volume is 475 Å³ per cell. The uncorrected energy is -4.189 eV per atom.

The space group is F-43m (No. 216) and the conventional cell measures 7.8019, 7.8019 and 7.8019 Å, with angles of 90.00, 90.00 and 90.00 degrees. The inequivalent atoms are Tb at (0.0000, 0.0000, 0.0000), Pr at (0.2500, 0.2500, 0.7500), Nd at (0.2500, 0.2500, 0.2500) and Ag at (0.0000, 0.0000, 0.5000).

[7]
This record from the Alexandria database describes a geometry-optimized SrHf3Be structure. The functional is PBE.

As for the formation energy: 2.452 eV per atom. Its volume is 131 Å³ per cell. The uncorrected energy is -4.602 eV per atom.

The space group is Pm-3m (No. 221) and the conventional cell measures 5.0851, 5.0851 and 5.0851 Å, with angles of 90.00, 90.00 and 90.00 degrees. The inequivalent atoms are Sr at (0.0000, 0.0000, 0.0000), Hf at (0.0000, 0.0000, 0.5000) and Be at (0.5000, 0.5000, 0.5000).